1.
Computed, not measured: a relaxed structure of BaRu2AuF at the GGA-PBE level of DFT.

a b c (Å): 4.912 4.912 6.593
angles (deg): 90.00 90.00 90.00
Space group P4/mmm (No. 123)
One atom of each set of equivalent atoms:
Ba 0.000 0.000 0.000 [1 per cell]
Ru 0.000 0.500 0.500 [2 per cell]
Au 0.000 0.000 0.500 [1 per cell]
F 0.500 0.500 0.000 [1 per cell]

The value obtained for the uncorrected formation energy is 634 meV/atom.

***

2.
Computed, not measured: a relaxed structure of Ca2Cd6In at the GGA-PBE level of DFT.

a b c (Å): 8.8549 8.8549 10.1469
angles (deg): 90.00 90.00 120.00
Space group R-3m (No. 166, hexagonal axes)
One atom of each set of equivalent atoms:
Ca 0.0000 0.0000 0.1755 [6 per cell]
Cd 0.0000 0.3329 0.0000 [18 per cell]
In 0.0000 0.0000 0.5000 [3 per cell]

The value obtained for the formation energy is -0.229 eV/atom.

***

3.
Computed, not measured: a relaxed structure of YZr2Sc2 at the GGA-PBE level of DFT.

a b c (Å): 8.663 8.663 3.387
angles (deg): 90.00 90.00 90.00
Space group P4/mbm (No. 127)
One atom of each set of equivalent atoms:
Y 0.000 0.000 0.000 [2 per cell]
Zr 0.172 0.328 0.500 [4 per cell]
Sc 0.124 0.624 0.000 [4 per cell]

The value obtained for the formation energy is 0.080 eV/atom. The calculation puts the offset from the most stable computed form at 2 meV/atom.

***

4.
Computed, not measured: a relaxed structure of La6PrAg at the GGA-PBE level of DFT.

a b c (Å): 7.074 7.082 8.066
angles (deg): 115.70 90.00 119.89
Space group P-1 (No. 2)
One atom of each set of equivalent atoms:
La 0.046 0.302 0.247 [2 per cell]
La 0.244 0.298 0.754 [2 per cell]
La 0.441 0.990 0.246 [2 per cell]
Pr 0.500 0.500 0.500 [1 per cell]
Ag 0.000 0.500 0.000 [1 per cell]

The value obtained for the formation energy is 0.289 eV/atom. The calculation puts the offset from the most stable computed form at 264 meV/atom.